(1)
# MnNi2Ag (PBE-GGA, optimized geometry)
data_MnNi2Ag
_cell_length_a 2.7065
_cell_length_b 2.7065
_cell_length_c 25.5993
_cell_angle_alpha 90.00
_cell_angle_beta 90.00
_cell_angle_gamma 120.00
_symmetry_space_group_name_H-M 'R 3 m'
_symmetry_Int_Tables_number 160
_symmetry_space_group_name_Hall 'R 3 -2"'
loop_
_atom_site_label
_atom_site_type_symbol
_atom_site_fract_x
_atom_site_fract_y
_atom_site_fract_z
_atom_site_occupancy
Mn1 Mn 0.0000 0.0000 0.0000 1
Ni1 Ni 0.0000 0.0000 0.4859 1
Ni2 Ni 0.0000 0.0000 0.7429 1
Ag1 Ag 0.0000 0.0000 0.2406 1
# N(E_F) = 1.503 states/eV per atom
# crystal system = trigonal
# distance to the lowest polymorph of the same formula = 162 meV per atom
# ΔH_f (0 K) = 0.258 eV/atom
# electronic total energy = -67.66 eV for the cell shown

=====

(2)
# MnNiAgPd (PBE-GGA, optimized geometry)
data_MnNiAgPd
_cell_length_a 6.185
_cell_length_b 6.185
_cell_length_c 6.185
_cell_angle_alpha 90.00
_cell_angle_beta 90.00
_cell_angle_gamma 90.00
_symmetry_space_group_name_H-M 'F -4 3 m'
_symmetry_Int_Tables_number 216
_symmetry_space_group_name_Hall 'F -4 2 3'
loop_
_atom_site_label
_atom_site_type_symbol
_atom_site_fract_x
_atom_site_fract_y
_atom_site_fract_z
_atom_site_occupancy
Mn1 Mn 0.000 0.000 0.000 1
Ni1 Ni 0.250 0.250 0.750 1
Ag1 Ag 0.000 0.000 0.500 1
Pd1 Pd 0.250 0.250 0.250 1
# N(E_F) = 0.333 states/eV per atom
# crystal system = cubic
# ΔH_f (0 K) = 0.060 eV/atom
# electronic total energy = -91.02 eV for the cell shown

=====

(3)
# Mn2NiAg2S6 (PBE-GGA, optimized geometry)
data_Mn2NiAg2S6
_cell_length_a 5.988
_cell_length_b 9.703
_cell_length_c 7.334
_cell_angle_alpha 90.00
_cell_angle_beta 103.86
_cell_angle_gamma 90.00
_symmetry_space_group_name_H-M 'C 1 2/m 1'
_symmetry_Int_Tables_number 12
loop_
_symmetry_equiv_pos_as_xyz
'x,y,z'
'-x,-y,-z'
'-x,y,-z'
'x,-y,z'
'x+1/2,y+1/2,z'
'-x+1/2,-y+1/2,-z'
'-x+1/2,y+1/2,-z'
'x+1/2,-y+1/2,z'
loop_
_atom_site_label
_atom_site_type_symbol
_atom_site_fract_x
_atom_site_fract_y
_atom_site_fract_z
_atom_site_occupancy
Mn1 Mn 0.000 0.138 0.000 1
Ni1 Ni 0.000 0.500 0.000 1
Ag1 Ag 0.000 0.337 0.500 1
S1 S 0.117 0.000 0.806 1
S2 S 0.117 0.329 0.836 1
# N(E_F) = 0.193 states/eV per atom
# crystal system = monoclinic
# electronic total energy = -116.19 eV for the cell shown